SCAN TlP2Rh, PBEsol geometry; E_tot = -31.8881 eV per atom; energy relative to the elements = -0.63 eV per formula unit; DOS(E_F) = 1.9 states/eV per cell; SG = R-3m (166); total magnetization = 0.000 μB per formula unit
1.0
-2.7832 -0.4189 -2.6062
-2.1886 -3.1501 0.0208
-5.4926 1.4991 2.8017
Rh P Tl
1 2 1
Direct
0.5000 0.5000 0.5000
0.2147 0.2147 0.3560
0.7853 0.7853 0.6440
0.0000 0.0000 0.0000

SCAN Sm2SnS5, PBEsol geometry; E_tot = -23.2642 eV per atom; energy relative to the elements, uncorrected = -1.646 eV/atom; DOS(E_F) = 0.3 states/eV per cell; SG = Pbam (55); total magnetization = 0.000 μB per formula unit
1.0
-2.2283 -1.4430 2.7724
5.5783 -4.9283 1.9185
4.1688 7.5534 7.2821
S Sn Sm
10 2 4
Direct
0.5000 0.6757 0.4087
0.0000 0.3287 0.3029
0.5000 0.1757 0.0913
0.5000 0.3243 0.5913
0.5000 0.8243 0.9087
0.0000 0.8287 0.1971
0.0000 0.0000 0.5000
0.0000 0.5000 0.0000
0.0000 0.6713 0.6971
0.0000 0.1713 0.8029
0.0000 0.5000 0.5000
0.0000 0.0000 0.0000
0.5000 0.5391 0.1724
0.5000 0.0391 0.3276
0.5000 0.4609 0.8276
0.5000 0.9609 0.6724

SCAN In2IrOs, PBEsol geometry; E_tot = -51.9880 eV per atom; energy relative to the elements = 1.80 eV per formula unit; DOS(E_F) = 2.9 states/eV per cell; SG = I-4m2 (119); total magnetization = 0.000 μB per formula unit
1.0
-1.0987 -2.5128 2.8654
3.6648 -1.5148 0.0769
-0.1623 4.8743 1.4671
In Ir Os
2 1 1
Direct
0.0000 0.0000 0.0000
0.7500 0.2500 0.5000
0.5000 0.5000 0.0000
0.2500 0.7500 0.5000

SCAN SbPdI2Br, PBEsol geometry; E_tot = -31.4948 eV per atom; energy relative to the elements, uncorrected = 1.101 eV/atom; DOS(E_F) = 5.7 states/eV per cell; SG = P4/mmm (123); total magnetization = 1.637 μB per formula unit
1.0
5.4276 0.0000 0.0000
0.0000 5.7499 0.0000
0.0000 0.0000 5.7499
I Pd Br Sb
2 1 1 1
Direct
0.0000 0.5000 0.0000
0.0000 0.0000 0.5000
0.5000 0.5000 0.5000
0.0000 0.0000 0.0000
0.5000 0.0000 0.0000

SCAN KCaCl2, PBEsol geometry; E_tot = -10.4078 eV per atom; energy relative to the elements, uncorrected = -1.921 eV/atom; DOS(E_F) = 0.9 states/eV per cell; SG = Pmmm (47); total magnetization = 0.560 μB per formula unit
1.0
3.8419 0.0000 0.0000
0.0000 4.1433 0.0104
0.0000 -0.0188 7.4087
K Cl Ca
1 2 1
Direct
0.5000 0.0000 0.0000
0.0000 0.4998 0.7678
0.0000 0.5002 0.2322
0.5000 0.5000 0.5000

SCAN La2RuCl, PBEsol geometry; E_tot = -33.4190 eV per atom; energy relative to the elements, uncorrected = -1.165 eV/atom; DOS(E_F) = 2.0 states/eV per cell; SG = R-3m (166); total magnetization = 0.000 μB per formula unit
1.0
4.0635 0.0033 0.0217
2.0267 3.5220 0.0217
1.9867 1.1500 7.4634
Ru Cl La
1 1 2
Direct
0.5000 0.5000 0.0000
0.0000 0.0000 0.5000
0.7647 0.7647 0.2067
0.2353 0.2353 0.7933

SCAN TlFeTe2, PBEsol geometry; E_tot = -40.7884 eV per atom; energy relative to the elements, uncorrected = 0.459 eV/atom; DOS(E_F) = 7.3 states/eV per cell; SG = Fm-3m (225); total magnetization = 3.141 μB per formula unit
1.0
5.1412 0.0000 0.0000
2.5706 4.4524 0.0000
2.5706 1.4841 4.1978
Te Fe Tl
2 1 1
Direct
0.7500 0.7500 0.7500
0.2500 0.2500 0.2500
0.0000 0.0000 0.0000
0.5000 0.5000 0.5000

SCAN AlAsIr2, PBEsol geometry; E_tot = -42.3772 eV per atom; energy relative to the elements = 0.63 eV per formula unit; DOS(E_F) = 2.8 states/eV per cell; SG = F-43m (216); total magnetization = 0.000 μB per formula unit
1.0
4.3914 0.0000 0.0000
2.1957 3.8031 0.0000
2.1957 1.2677 3.5856
Ir Al As
2 1 1
Direct
0.7500 0.7500 0.7500
0.0000 0.0000 0.0000
0.5000 0.5000 0.5000
0.2500 0.2500 0.2500